VASP calculation (PBE-GGA) on an optimized crystal structure of Np3Si.

The structure in POSCAR format:
```
Np3Si
1.0
5.2149 -0.7981 -0.6867
-0.7235 5.6901 0.6300
-0.6616 2.0207 5.3644
Np Si
6 2
Direct
0.2593 0.9503 0.9503 Np
0.7407 0.0497 0.0497 Np
0.6966 0.1479 0.5746 Np
0.3034 0.8521 0.4254 Np
0.3034 0.4254 0.8521 Np
0.6966 0.5746 0.1479 Np
0.1858 0.3527 0.3527 Si
0.8142 0.6473 0.6473 Si
```

Results
distance to the lowest polymorph of the same formula	0	meV per atom
total moment	0.9	μB/f.u.
theoretical density	16.563	g cm⁻³
uncorrected formation energy	-0.0654	eV/atom